Density functional theory data (GGA-PBEsol) for a relaxed YAg2Br crystal.

Cell lengths 3.9122, 3.9122, 5.7880 Å; angles 90.00, 90.00, 90.00 degrees
With the nearest neighbours (Å) after each atom.
Element x y z (fractional)
Y (0.0000, 0.0000, 0.0000)  2 Br 2.89, 8 Ag 3.10
Ag (0.5000, 0.5000, 0.2415)  2 Ag 2.80-2.99, 4 Y 3.10
Ag (0.5000, 0.5000, 0.7585)  2 Ag 2.80-2.99, 4 Y 3.10
Br (0.0000, 0.0000, 0.5000)  2 Y 2.89, 8 Ag 3.15

Computed properties:
Its density is 7.21 Mg/m³. Its space group is P4/mmm, No. 123. As for the total magnetization: 0.00 μB per cell. The calculation puts the raw formation energy at -5.79 kcal/mol of atoms. Its energy above the most stable polymorph in this dataset is 105 meV per atom.